# 1
A plane-wave DFT calculation with PBE was carried out for a relaxed Y6AgGe2 crystal.

a b c (Å): 8.0517 8.0517 4.2292
angles (deg): 90.00 90.00 120.00
Space group P-62m (No. 189)
Unique sites:
Y1 0.0000 0.4082 0.0000 (multiplicity 3)
Y2 0.0000 0.7335 0.5000 (multiplicity 3)
Ag1 0.0000 0.0000 0.0000 (multiplicity 1)
Ge1 0.3333 0.6667 0.5000 (multiplicity 2)

Properties
Raw total energy: -6.12 eV per atom

***

# 2
A plane-wave DFT calculation with PBE was carried out for a relaxed YHoGa2Cl2 crystal.

a b c (Å): 4.0738 4.0738 10.9252
angles (deg): 90.00 90.00 120.00
Space group P3m1 (No. 156)
Unique sites:
Y1 0.0000 0.0000 0.0000 (multiplicity 1)
Ho1 0.0000 0.0000 0.3783 (multiplicity 1)
Ga1 0.3333 0.6667 0.2227 (multiplicity 1)
Ga2 0.6667 0.3333 0.1584 (multiplicity 1)
Cl1 0.3333 0.6667 0.8554 (multiplicity 1)
Cl2 0.6667 0.3333 0.5214 (multiplicity 1)

Properties
Raw total energy: -4.82 eV per atom